# 1
The following is a PBE-GGA calculation of a geometry-optimized UVAu structure, from Alexandria.

The value obtained for the energy above the most stable polymorph in this dataset is 243 meV/atom. The value obtained for the energy of formation from the pure elements is 0.356 eV/atom.

Unit cell a=2.848 b=2.848 c=15.254 alpha=84.64 beta=84.64 gamma=60.00
Each line ends with the local moment (μB).
Fractional positions:
U1 0.697 0.697 0.908  0.04
U2 0.303 0.303 0.092  0.04
Au1 0.862 0.862 0.415  0.03
Au2 0.138 0.138 0.585  0.03
V1 0.756 0.756 0.733  0.66
V2 0.244 0.244 0.267  0.66

# 2
The following is a PBE-GGA calculation of a geometry-optimized KCaRh2 structure, from Alexandria.

The value obtained for the energy above the most stable polymorph in this dataset is 285 meV/atom. The value obtained for the energy of formation from the pure elements is 0.367 eV/atom.

Unit cell a=9.897 b=9.897 c=9.897 alpha=18.20 beta=18.20 gamma=18.20
Each line ends with the local moment (μB).
Fractional positions:
Ca1 0.250 0.250 0.250  -0.02
K1 0.750 0.750 0.750  0.00
Rh1 0.992 0.992 0.992  0.29
Rh2 0.508 0.508 0.508  0.29

# 3
The following is a PBE-GGA calculation of a geometry-optimized Cu2Pd3Au4 structure, from Alexandria.

The value obtained for the energy above the most stable polymorph in this dataset is 10 meV/atom. The value obtained for the energy of formation from the pure elements is -0.083 eV/atom.

Unit cell a=4.031 b=4.844 c=8.441 alpha=74.61 beta=89.86 gamma=65.55
Fractional positions:
Cu1 0.330 0.339 0.774
Cu2 0.670 0.661 0.226
Pd1 0.332 0.336 0.445
Pd2 0.000 0.000 0.000
Pd3 0.668 0.664 0.555
Au1 0.666 0.667 0.889
Au2 0.003 0.993 0.332
Au3 0.997 0.007 0.668
Au4 0.334 0.333 0.111

# 4
The following is a PBE-GGA calculation of a geometry-optimized TmSiP2N6 structure, from Alexandria.

The formation energy without anion corrections is -0.69 eV/atom.

Unit cell a=5.590 b=6.873 c=6.873 alpha=90.45 beta=71.73 gamma=71.73
Each line ends with the local moment (μB).
Fractional positions:
Tm1 0.250 0.877 0.123  0.02
Tm2 0.750 0.123 0.877  0.02
Si1 0.250 0.202 0.798  0.01
Si2 0.750 0.798 0.202  0.01
P1 0.354 0.763 0.607  -0.01
P2 0.146 0.393 0.237  -0.01
P3 0.646 0.237 0.393  -0.01
P4 0.854 0.607 0.763  -0.01
N1 0.205 0.960 0.788  0.07
N2 0.295 0.212 0.040  0.07
N3 0.795 0.040 0.212  0.07
N4 0.705 0.788 0.960  0.07
N5 0.447 0.816 0.372  0.01
N6 0.053 0.628 0.184  0.01
N7 0.553 0.184 0.628  0.01
N8 0.947 0.372 0.816  0.01
N9 0.116 0.664 0.621  0.28
N10 0.384 0.379 0.336  0.28
N11 0.884 0.336 0.379  0.28
N12 0.616 0.621 0.664  0.28

Which volume belongs to each record? In order, 106.5 82.6 143.6 236.4 Å³/cell.
Which electronic total energy belongs to each record? In order, -7.5387 -4.0834 -4.1803 -7.7608 eV per atom.